1.
Compound: TlTcPd2I
Source: Alexandria via LeMat-Bulk
Functional: PBE-GGA
Structure: optimized geometry

Calculated volume: 25.88 Å³ per atom
DOS(E_F): 0.503 states/eV/atom
Density: 8.2 g cm⁻³
Uncorrected formation energy: 0.92 eV per atom

Geometry as POSCAR:
```
TlTcPd2I
1.0
-3.5868 0.6254 3.4549
-2.9913 -3.3448 -2.5001
1.9453 -3.7576 2.6998
I Pd Tc Tl
1 2 1 1
Direct
0.0000 0.0000 0.0000 I
0.0000 0.0000 0.5000 Pd
0.5000 0.0000 0.0000 Pd
0.0000 0.5000 0.0000 Tc
0.5000 0.5000 0.5000 Tl
```

2.
Compound: ReMo5
Source: Alexandria via LeMat-Bulk
Functional: PBE-GGA
Structure: optimized geometry

Calculated volume: 15.69 Å³ per atom
Energy relative to the elements: 0.0121 eV per atom
Polymorph energy (0 for the lowest one): 0.0004 eV per atom
DOS(E_F): 0.914 states/eV/atom
Density: 11.7 g cm⁻³

Geometry as POSCAR:
```
ReMo5
1.0
-4.9509 -1.5491 0.6296
2.7028 0.8082 -4.3988
1.3406 -4.2685 0.0395
Mo Re
5 1
Direct
0.4726 0.5274 0.5000 Mo
0.1396 0.8604 0.5000 Mo
0.6382 0.3618 0.0000 Mo
0.3055 0.6945 0.0000 Mo
0.8056 0.1944 0.5000 Mo
0.9718 0.0282 0.0000 Re
```

3.
Compound: Pm3Cu3Ni2
Source: Alexandria via LeMat-Bulk
Functional: PBE-GGA
Structure: optimized geometry

Calculated volume: 20.08 Å³ per atom
Energy relative to the elements: -0.2710 eV per atom
Polymorph energy (0 for the lowest one): 0.0000 eV per atom
DOS(E_F): 0.721 states/eV/atom
Density: 7.7 g cm⁻³

Geometry as POSCAR:
```
Pm3Cu3Ni2
1.0
4.0357 0.0000 0.0000
-2.0179 5.2089 0.0000
0.0000 0.0000 15.2838
Pm Ni Cu
6 4 6
Direct
0.8746 0.7493 0.4090 Pm
0.6024 0.2047 0.2500 Pm
0.8746 0.7493 0.0910 Pm
0.1254 0.2507 0.5910 Pm
0.1254 0.2507 0.9090 Pm
0.3976 0.7953 0.7500 Pm
0.8231 0.6462 0.8829 Ni
0.1769 0.3538 0.3829 Ni
0.1769 0.3538 0.1171 Ni
0.8231 0.6462 0.6171 Ni
0.3139 0.6277 0.2500 Cu
0.4104 0.8208 0.5520 Cu
0.5896 0.1792 0.4480 Cu
0.4104 0.8208 0.9480 Cu
0.5896 0.1792 0.0520 Cu
0.6861 0.3723 0.7500 Cu
```